<P>
First-principles (PBE with a Hubbard U) data for a relaxed TaMoI2O crystal, as listed in Alexandria via LeMat-Bulk.

Lattice parameters (Å, degrees): 5.8383 5.8383 3.9076 90.00 90.00 90.00
Closest atoms and distances in Å follow each position.
Sites, in units of the cell vectors:
Ta 0.0000 0.0000 0.0000  2 O 1.95
Mo 0.5000 0.5000 0.5000  8 I 3.51, 2 Mo 3.91
I 0.0000 0.5000 0.0000  2 Ta 2.92
I 0.5000 0.0000 0.0000  2 Ta 2.92
O 0.0000 0.0000 0.5000  2 Ta 1.95



<Q>
First-principles (PBE with a Hubbard U) data for a relaxed TaMoI2O crystal, as listed in Alexandria via LeMat-Bulk.

Lattice parameters (Å, degrees): 5.8556 5.8556 3.8305 90.00 90.00 90.00
Closest atoms and distances in Å follow each position.
Sites, in units of the cell vectors:
Ta 0.0000 0.0000 0.0000  8 I 3.50, 2 Ta 3.83
Mo 0.5000 0.5000 0.5000  2 O 1.92
I 0.0000 0.5000 0.5000  2 Mo 2.93
I 0.5000 0.0000 0.5000  2 Mo 2.93
O 0.5000 0.5000 0.0000  2 Mo 1.92



Ranking the structures above by stability puts <P> first and <Q> last.